# 1
A relaxed structure of PaOs3, computed with PBE.

Results
Its energy of formation is -0.12 eV/atom. As for the spin magnetization: 0.00 μB/cell. Its symmetry is P6_3/mmc (194).

a = 5.2432 Å, b = 5.2432 Å, c = 17.9721 Å
α = 90.00°, β = 90.00°, γ = 120.00°
Closest atoms and distances in Å follow each position.
Sites, in units of the cell vectors:
Os 0.1675 0.8325 0.6272  7 Os 2.61-2.75
Pa 0.3333 0.6667 0.0397  12 Os 3.06-3.36, 3 Pa 3.35
Pa 0.3333 0.6667 0.4603  12 Os 3.06-3.36, 3 Pa 3.35
Os 0.0000 0.0000 0.7500  6 Os 2.68
Os 0.6651 0.8325 0.6272  7 Os 2.61-2.75
Os 0.0000 0.0000 0.0000  6 Os 2.75
Os 0.8325 0.1675 0.1272  7 Os 2.61-2.75
Os 0.0000 0.0000 0.5000  6 Os 2.75
Os 0.6667 0.3333 0.2500  6 Os 2.67
Os 0.3349 0.1675 0.1272  7 Os 2.61-2.75
Pa 0.6667 0.3333 0.9603  12 Os 3.06-3.36, 3 Pa 3.35
Pa 0.3333 0.6667 0.2500  6 Os 3.03
Os 0.1675 0.8325 0.8728  7 Os 2.61-2.75
Os 0.3349 0.1675 0.3728  7 Os 2.61-2.75
Os 0.0000 0.0000 0.2500  6 Os 2.68
Os 0.8325 0.6651 0.3728  7 Os 2.61-2.75
Pa 0.6667 0.3333 0.7500  6 Os 3.03
Os 0.6651 0.8325 0.8728  7 Os 2.61-2.75
Os 0.1675 0.3349 0.6272  7 Os 2.61-2.75
Os 0.3333 0.6667 0.7500  6 Os 2.67
Os 0.8325 0.1675 0.3728  7 Os 2.61-2.75
Os 0.8325 0.6651 0.1272  7 Os 2.61-2.75
Pa 0.6667 0.3333 0.5397  12 Os 3.06-3.36, 3 Pa 3.35
Os 0.1675 0.3349 0.8728  7 Os 2.61-2.75

=====

# 2
A relaxed structure of Pa3Os, computed with PBE.

Results
Its energy of formation is -0.17 eV/atom. As for the spin magnetization: 0.00 μB/cell. Its symmetry is P2_1/m (11).

a = 3.5058 Å, b = 6.3699 Å, c = 8.5171 Å
α = 99.48°, β = 90.00°, γ = 90.00°
Closest atoms and distances in Å follow each position.
Sites, in units of the cell vectors:
Pa 0.7500 0.2201 0.4471  2 Os 2.78
Pa 0.7500 0.6213 0.8823  2 Os 2.79, 1 Pa 2.87
Pa 0.2500 0.3787 0.1177  2 Os 2.79, 1 Pa 2.87
Pa 0.2500 0.9430 0.1636  1 Pa 2.87, 2 Os 2.89
Os 0.2500 0.3403 0.7000  6 Pa 2.78-2.89
Pa 0.2500 0.7799 0.5529  2 Os 2.78
Pa 0.7500 0.0570 0.8364  1 Pa 2.87, 2 Os 2.89
Os 0.7500 0.6597 0.3000  6 Pa 2.78-2.89

=====

Question: Which value of spin magnetization does entry 2 give?
Answer: 0.00 μB/cell

=====

Question: energy of formation of number 2 (Pa3Os)?
Answer: -0.17 eV/atom